{"formula": "TiZnNi3", "functional": "PBE", "state": "optimized geometry", "lattice": [[4.610, 0.000, 0.000], [0.000, 6.469, -0.876], [0.000, -3.991, 5.166]], "species": ["Ti", "Zn", "Ni", "Ni", "Ni", "Ni", "Ni", "Ni", "Zn", "Ti"], "fractional_positions": [[0.750, 0.669, 0.331], [0.000, 0.000, 0.000], [0.250, 0.400, 0.097], [0.750, 0.097, 0.400], [0.250, 0.821, 0.179], [0.250, 0.903, 0.600], [0.750, 0.179, 0.821], [0.750, 0.600, 0.903], [0.500, 0.000, 0.000], [0.250, 0.331, 0.669]], "ef_ev_per_atom": -0.137, "e_above_lowest_polymorph_mev_per_atom": 100.0, "dft_energy_ev_per_atom": -5.44}